Computed, not measured: a geometry-optimized Pm2VS6 structure at the PBE level of DFT.

V ... 23.461 Å³ per atom
Raw total energy ... -6.10 eV per atom
Formation energy without anion corrections ... -1.277 eV per atom

```
data_Pm2VS6
_chemical_formula_sum 'Pm4 V2 S12'
_cell_length_a 12.975
_cell_length_b 5.119
_cell_length_c 6.896
_cell_angle_alpha 90.00
_cell_angle_beta 112.78
_cell_angle_gamma 90.00
_space_group_name_H-M_alt 'C 1 2/m 1'
_space_group_IT_number 12
loop_
_space_group_symop_operation_xyz
'x,y,z'
'-x,-y,-z'
'-x,y,-z'
'x,-y,z'
'x+1/2,y+1/2,z'
'-x+1/2,-y+1/2,-z'
'-x+1/2,y+1/2,-z'
'x+1/2,-y+1/2,z'
loop_
_atom_site_label
_atom_site_fract_x
_atom_site_fract_y
_atom_site_fract_z
_atom_site_occupancy
Pm1 0.229 0.000 0.229 1
V1 0.000 0.500 0.000 1
S1 0.091 0.234 0.834 1
S2 0.169 0.500 0.325 1
```